The following is a DFT calculation (meta-GGA SCAN) of Sr5Cr2N6 at its PBEsol-relaxed geometry.

Values from the calculation:
The calculated density comes out at 4802 kg/m3. For the total energy, the calculation gives -16.6902 eV per atom. As for the formation energy (no corrections): -1.01 eV/atom. Its volume is 433 Å³/cell.

The structure in extended XYZ format:
```
26
Lattice="5.0491 -3.2555 0.0000 5.0491 3.2555 0.0000 -2.6781 0.0000 13.1727" Properties=species:S:1:pos:R:3 pbc="T T T"
Sr 3.0405 2.5311 9.8795
Sr 4.3422 1.7138 0.0668
Sr 2.6970 0.5511 3.7037
Sr 4.4169 1.7138 6.5195
Sr 1.3580 -0.5511 10.2900
Sr 6.0621 0.5511 2.8827
Sr 3.0032 -1.7138 6.6532
Sr 4.7230 -0.5511 9.4690
Sr 3.0778 -1.7138 13.1059
Sr 4.3795 -2.5311 3.2932
Cr 1.2448 0.9033 7.5299
Cr 2.5839 -0.9033 0.9436
Cr 4.8361 0.9033 12.2291
Cr 6.1752 -0.9033 5.6428
N -0.1833 0.3067 8.4067
N 1.1173 0.4627 5.7469
N 1.1557 -0.3067 1.8203
N -0.2218 -0.4627 12.3333
N 2.7422 0.3724 8.2539
N 4.0813 -0.3724 1.6676
N 3.3387 0.3724 11.5051
N 4.6778 -0.3724 4.9188
N 7.6418 0.4627 0.8394
N 6.2643 0.3067 11.3524
N 6.3027 -0.4627 7.4258
N 7.6034 -0.3067 4.7660
```

The following is a DFT calculation (meta-GGA SCAN) of CdGaHg3 at its PBEsol-relaxed geometry.

Values from the calculation:
The value obtained for the energy relative to the elements is 367 meV per atom. The calculated density comes out at 8549 kg/m3. For the total energy, the calculation gives -49.8843 eV per atom. Its volume is 152 Å³/cell.

The structure in extended XYZ format:
```
5
Lattice="5.3398 0.0000 0.0000 0.0000 5.3398 0.0000 0.0000 0.0000 5.3398" Properties=species:S:1:pos:R:3 pbc="T T T"
Cd 0.0000 0.0000 0.0000
Ga 2.6699 2.6699 2.6699
Hg 0.0000 0.0000 2.6699
Hg 0.0000 2.6699 0.0000
Hg 2.6699 0.0000 0.0000
```

The following is a DFT calculation (meta-GGA SCAN) of SrTeS2N at its PBEsol-relaxed geometry.

Values from the calculation:
The calculated density comes out at 4614 kg/m3. For the total energy, the calculation gives -17.9199 eV per atom. As for the formation energy (no corrections): -0.31 eV/atom. Its volume is 106 Å³/cell.

The structure in extended XYZ format:
```
5
Lattice="5.1251 0.0000 0.0000 0.0000 5.1251 0.0000 0.0000 0.0000 4.0197" Properties=species:S:1:pos:R:3 pbc="T T T"
Sr 0.0000 0.0000 0.0000
Te 2.5626 2.5626 2.0098
S 0.0000 2.5626 2.0098
S 2.5626 0.0000 2.0098
N 2.5626 2.5626 0.0000
```

The following is a DFT calculation (meta-GGA SCAN) of CuB2Mo at its PBEsol-relaxed geometry.

Values from the calculation:
The value obtained for the energy relative to the elements is 572 meV per atom. The calculated density comes out at 7870 kg/m3. For the total energy, the calculation gives -15.6635 eV per atom. Its volume is 38 Å³/cell.

The structure in extended XYZ format:
```
4
Lattice="0.0000 2.6734 2.6734 2.6734 0.0000 2.6734 2.6734 2.6734 0.0000" Properties=species:S:1:pos:R:3 pbc="T T T"
Cu 0.0000 0.0000 0.0000
B 1.3367 1.3367 1.3367
B 4.0101 4.0101 4.0101
Mo 2.6734 2.6734 2.6734
```

Question: The highest volume belongs to which entry?
Answer: Sr5Cr2N6